LaTc3Ge: relaxed, PBE.

The structure belongs to space group Pm-3m (No. 221); the cell edges are 4.6932, 4.6932 and 4.6932 Å and the angles 90.00°, 90.00° and 90.00°. The asymmetric unit holds La at (0.0000, 0.0000, 0.0000), Tc at (0.0000, 0.5000, 0.5000) and Ge at (0.5000, 0.5000, 0.5000).

For the offset from the most stable computed form, the calculation gives 0 meV per atom. Its formation energy is 0.65 eV/atom.